# 1
Material: Er5Tl2Ge2
Method: DFT, PBE
State: relaxed

Space group   Cmce, No. 64
Total magnetization   0.0 μB per formula unit
Energy of formation   -583 meV per atom

```
Er5Tl2Ge2
1.0
7.295 0.000 2.648
0.000 7.733 0.000
0.990 0.000 8.644
Er Tl Ge
10 4 4
Direct
0.047 0.668 0.250
0.453 0.168 0.750
0.797 0.832 0.750
0.547 0.832 0.250
0.500 0.500 0.000
0.703 0.332 0.250
0.000 0.000 0.000
0.297 0.668 0.750
0.203 0.168 0.250
0.953 0.332 0.750
0.216 0.000 0.569
0.284 0.500 0.431
0.784 0.000 0.431
0.716 0.500 0.569
0.135 0.362 0.000
0.635 0.138 0.000
0.365 0.862 0.000
0.865 0.638 0.000
```

---

# 2
Material: Er2TlGe
Method: DFT, PBE
State: relaxed

Space group   P4/mmm, No. 123
Total magnetization   0.0 μB per formula unit
Energy of formation   -437 meV per atom

```
Er2TlGe
1.0
4.105 0.000 0.000
0.000 4.870 0.000
0.000 0.000 4.870
Tl Er Ge
1 2 1
Direct
0.500 0.500 0.500
0.000 0.000 0.500
0.000 0.500 0.000
0.500 0.000 0.000
```

---

# 3
Material: Er2TlGe
Method: DFT, PBE
State: relaxed

Space group   P4/mmm, No. 123
Total magnetization   0.0 μB per formula unit
Energy of formation   -458 meV per atom

```
Er2TlGe
1.0
-3.098 -1.477 -0.079
0.853 -1.633 -2.897
2.918 -6.357 4.443
Ge Er Tl
1 2 1
Direct
0.500 0.500 0.000
0.000 0.000 0.773
0.000 0.000 0.227
0.500 0.500 0.500
```